Record 1
# Nd4Ho4Er3, optimized geometry, DFT GGA-PBE
data_Nd4Ho4Er3
_chemical_formula_sum 'Nd8 Ho8 Er6'
_space_group_name_H-M_alt 'I m m m'
_space_group_IT_number 71
_space_group_name_Hall '-I 2 2'
_cell_length_a 3.578
_cell_length_b 5.040
_cell_length_c 39.379
_cell_angle_alpha 90.00
_cell_angle_beta 90.00
_cell_angle_gamma 90.00
loop_
_atom_site_label
_atom_site_fract_x
_atom_site_fract_y
_atom_site_fract_z
Nd1 0.000 0.000 0.090
Nd2 0.000 0.000 0.273
Ho1 0.000 0.000 0.180
Ho2 0.000 0.000 0.456
Er1 0.000 0.000 0.000
Er2 0.000 0.000 0.364
# spin magnetization	0.0	μB per formula unit
# DOS at the Fermi energy	1.26	states/eV per atom
# DFT formation energy	0.0197	eV/atom
# crystal system	orthorhombic

Record 2
# Nd5Ho2Er5, optimized geometry, DFT GGA-PBE
data_Nd5Ho2Er5
_chemical_formula_sum 'Nd10 Ho4 Er10'
_space_group_name_H-M_alt 'C 1 2/m 1'
_space_group_IT_number 12
_cell_length_a 15.187
_cell_length_b 5.052
_cell_length_c 11.358
_cell_angle_alpha 90.00
_cell_angle_beta 116.55
_cell_angle_gamma 90.00
loop_
_space_group_symop_operation_xyz
'x,y,z'
'-x,-y,-z'
'-x,y,-z'
'x,-y,z'
'x+1/2,y+1/2,z'
'-x+1/2,-y+1/2,-z'
'-x+1/2,y+1/2,-z'
'x+1/2,-y+1/2,z'
loop_
_atom_site_label
_atom_site_fract_x
_atom_site_fract_y
_atom_site_fract_z
Nd1 0.000 0.000 0.000
Nd2 0.084 0.000 0.751
Nd3 0.166 0.000 0.499
Ho1 0.083 0.500 0.248
Er1 0.000 0.500 0.500
Er2 0.168 0.500 0.001
Er3 0.249 0.000 0.247
# spin magnetization	0.0	μB per formula unit
# DOS at the Fermi energy	1.46	states/eV per atom
# DFT formation energy	0.0205	eV/atom
# crystal system	monoclinic

Record 3
# Nd4HoEr2, optimized geometry, DFT GGA-PBE
data_Nd4HoEr2
_chemical_formula_sum 'Nd32 Ho8 Er16'
_space_group_name_H-M_alt 'F d d 2'
_space_group_IT_number 43
_space_group_name_Hall 'F 2 -2d'
_cell_length_a 11.982
_cell_length_b 24.267
_cell_length_c 6.464
_cell_angle_alpha 90.00
_cell_angle_beta 90.00
_cell_angle_gamma 90.00
loop_
_atom_site_label
_atom_site_fract_x
_atom_site_fract_y
_atom_site_fract_z
Nd1 0.052 0.430 0.000
Nd2 0.069 0.356 0.469
Ho1 0.000 0.000 0.005
Er1 0.025 0.284 0.945
# spin magnetization	0.0	μB per formula unit
# DOS at the Fermi energy	1.45	states/eV per atom
# DFT formation energy	0.0591	eV/atom
# crystal system	orthorhombic

Record 4
# Nd2Ho7Er, optimized geometry, DFT GGA-PBE
data_Nd2Ho7Er
_chemical_formula_sum 'Nd4 Ho14 Er2'
_space_group_name_H-M_alt 'C m m m'
_space_group_IT_number 65
_space_group_name_Hall '-C 2 2'
_cell_length_a 6.476
_cell_length_b 28.750
_cell_length_c 3.504
_cell_angle_alpha 90.00
_cell_angle_beta 90.00
_cell_angle_gamma 90.00
loop_
_atom_site_label
_atom_site_fract_x
_atom_site_fract_y
_atom_site_fract_z
Nd1 0.000 0.208 0.000
Ho1 0.000 0.000 0.000
Ho2 0.000 0.316 0.500
Ho3 0.246 0.403 0.000
Er1 0.000 0.500 0.500
# spin magnetization	0.0	μB per formula unit
# DOS at the Fermi energy	1.51	states/eV per atom
# DFT formation energy	0.1562	eV/atom
# crystal system	orthorhombic

Record 5
# NdHo7Er5, optimized geometry, DFT GGA-PBE
data_NdHo7Er5
_chemical_formula_sum 'Nd2 Ho14 Er10'
_space_group_name_H-M_alt 'I m m 2'
_space_group_IT_number 44
_cell_length_a 6.665
_cell_length_b 11.018
_cell_length_c 11.489
_cell_angle_alpha 90.00
_cell_angle_beta 90.00
_cell_angle_gamma 90.00
loop_
_space_group_symop_operation_xyz
'x,y,z'
'-x,-y,z'
'-x,y,z'
'x,-y,z'
'x+1/2,y+1/2,z+1/2'
'-x+1/2,-y+1/2,z+1/2'
'-x+1/2,y+1/2,z+1/2'
'x+1/2,-y+1/2,z+1/2'
loop_
_atom_site_label
_atom_site_fract_x
_atom_site_fract_y
_atom_site_fract_z
Nd1 0.000 0.000 0.000
Ho1 0.000 0.000 0.304
Ho2 0.000 0.000 0.610
Ho3 0.000 0.329 0.052
Ho4 0.000 0.329 0.551
Ho5 0.000 0.500 0.803
Er1 0.000 0.500 0.299
Er2 0.234 0.229 0.801
# spin magnetization	0.0	μB per formula unit
# DOS at the Fermi energy	1.92	states/eV per atom
# DFT formation energy	0.2517	eV/atom
# crystal system	orthorhombic

Record 6
# Nd4HoEr5, optimized geometry, DFT GGA-PBE
data_Nd4HoEr5
_chemical_formula_sum 'Nd8 Ho2 Er10'
_space_group_name_H-M_alt 'I 4 m m'
_space_group_IT_number 107
_space_group_name_Hall 'I 4 -2'
_cell_length_a 10.680
_cell_length_b 10.680
_cell_length_c 5.922
_cell_angle_alpha 90.00
_cell_angle_beta 90.00
_cell_angle_gamma 90.00
loop_
_atom_site_label
_atom_site_fract_x
_atom_site_fract_y
_atom_site_fract_z
Nd1 0.000 0.323 0.000
Ho1 0.000 0.000 0.240
Er1 0.000 0.000 0.763
Er2 0.189 0.189 0.502
# spin magnetization	0.0	μB per formula unit
# DOS at the Fermi energy	1.26	states/eV per atom
# DFT formation energy	0.2392	eV/atom
# crystal system	tetragonal

Record 7
# Nd2Ho6Er, optimized geometry, DFT GGA-PBE
data_Nd2Ho6Er
_chemical_formula_sum 'Nd4 Ho12 Er2'
_space_group_name_H-M_alt 'P 42/m n m'
_space_group_IT_number 136
_space_group_name_Hall '-P 4n 2n'
_cell_length_a 10.653
_cell_length_b 10.653
_cell_length_c 5.044
_cell_angle_alpha 90.00
_cell_angle_beta 90.00
_cell_angle_gamma 90.00
loop_
_atom_site_label
_atom_site_fract_x
_atom_site_fract_y
_atom_site_fract_z
Nd1 0.166 0.166 0.000
Ho1 0.001 0.334 0.500
Ho2 0.167 0.833 0.000
Er1 0.000 0.000 0.500
# spin magnetization	0.0	μB per formula unit
# DOS at the Fermi energy	1.27	states/eV per atom
# DFT formation energy	0.0213	eV/atom
# crystal system	tetragonal

Record 8
# Nd4Ho5Er, optimized geometry, DFT GGA-PBE
data_Nd4Ho5Er
_chemical_formula_sum 'Nd8 Ho10 Er2'
_space_group_name_H-M_alt 'C 1 2/m 1'
_space_group_IT_number 12
_cell_length_a 17.148
_cell_length_b 3.528
_cell_length_c 11.245
_cell_angle_alpha 90.00
_cell_angle_beta 90.04
_cell_angle_gamma 90.00
loop_
_space_group_symop_operation_xyz
'x,y,z'
'-x,-y,-z'
'-x,y,-z'
'x,-y,z'
'x+1/2,y+1/2,z'
'-x+1/2,-y+1/2,-z'
'-x+1/2,y+1/2,-z'
'x+1/2,-y+1/2,z'
loop_
_atom_site_label
_atom_site_fract_x
_atom_site_fract_y
_atom_site_fract_z
Nd1 0.031 0.000 0.250
Nd2 0.158 0.500 0.750
Ho1 0.000 0.500 0.500
Ho2 0.173 0.000 0.050
Ho3 0.173 0.000 0.450
Er1 0.000 0.500 0.000
# spin magnetization	0.0	μB per formula unit
# DOS at the Fermi energy	1.34	states/eV per atom
# DFT formation energy	0.1900	eV/atom
# crystal system	monoclinic

Record 9
# Nd8Ho3Er3, optimized geometry, DFT GGA-PBE
data_Nd8Ho3Er3
_chemical_formula_sum 'Nd16 Ho6 Er6'
_space_group_name_H-M_alt 'I m m m'
_space_group_IT_number 71
_space_group_name_Hall '-I 2 2'
_cell_length_a 5.672
_cell_length_b 10.905
_cell_length_c 15.172
_cell_angle_alpha 90.00
_cell_angle_beta 90.00
_cell_angle_gamma 90.00
loop_
_atom_site_label
_atom_site_fract_x
_atom_site_fract_y
_atom_site_fract_z
Nd1 0.000 0.157 0.225
Nd2 0.000 0.337 0.396
Ho1 0.000 0.000 0.500
Ho2 0.000 0.500 0.179
Er1 0.000 0.000 0.000
Er2 0.000 0.302 0.000
# spin magnetization	0.0	μB per formula unit
# DOS at the Fermi energy	1.33	states/eV per atom
# DFT formation energy	0.1096	eV/atom
# crystal system	orthorhombic

Record 10
# Nd3HoEr5, optimized geometry, DFT GGA-PBE
data_Nd3HoEr5
_chemical_formula_sum 'Nd12 Ho4 Er20'
_space_group_name_H-M_alt 'C 1 2/m 1'
_space_group_IT_number 12
_cell_length_a 15.346
_cell_length_b 11.248
_cell_length_c 10.023
_cell_angle_alpha 90.00
_cell_angle_beta 130.68
_cell_angle_gamma 90.00
loop_
_space_group_symop_operation_xyz
'x,y,z'
'-x,-y,-z'
'-x,y,-z'
'x,-y,z'
'x+1/2,y+1/2,z'
'-x+1/2,-y+1/2,-z'
'-x+1/2,y+1/2,-z'
'x+1/2,-y+1/2,z'
loop_
_atom_site_label
_atom_site_fract_x
_atom_site_fract_y
_atom_site_fract_z
Nd1 0.000 0.000 0.000
Nd2 0.000 0.500 0.500
Nd3 0.009 0.000 0.307
Nd4 0.026 0.500 0.866
Ho1 0.248 0.500 0.896
Er1 0.000 0.241 0.500
Er2 0.160 0.250 0.254
Er3 0.215 0.000 0.725
Er4 0.221 0.500 0.533
# spin magnetization	0.0	μB per formula unit
# DOS at the Fermi energy	1.35	states/eV per atom
# DFT formation energy	0.5312	eV/atom
# crystal system	monoclinic

| no. | total DFT energy (no corrections) (eV per formula unit) |
| --- | --- |
| 1 | -50.85 |
| 2 | -55.56 |
| 3 | -32.36 |
| 4 | -44.58 |
| 5 | -56.35 |
| 6 | -44.07 |
| 7 | -41.37 |
| 8 | -44.62 |
| 9 | -64.03 |
| 10 | -36.91 |